The following is a PBE calculation of an optimized crystal structure of ZnRuRh3, from the Alexandria database.

Output
The value obtained for the distance to the lowest polymorph of the same formula is 0.00 eV per formula unit. The calculation puts the energy relative to the elements at 1.2593 eV/atom.

Unit cell a=4.662 b=4.662 c=4.662 alpha=90.00 beta=90.00 gamma=90.00
Space group Pm-3m (No. 221)
One atom of each set of equivalent atoms:
1 Zn 0.000 0.000 0.000
2 Ru 0.500 0.500 0.500
3 Rh 0.000 0.500 0.500

***

The following is a PBE calculation of an optimized crystal structure of KCr2As, from the Alexandria database.

Output
The calculation puts the energy relative to the elements at 0.6404 eV/atom.

Unit cell a=4.725 b=4.738 c=8.658 alpha=90.00 beta=90.00 gamma=90.00
Space group Cmmm (No. 65)
One atom of each set of equivalent atoms:
1 K 0.000 0.000 0.000
2 Cr 0.000 0.500 0.340
3 As 0.000 0.000 0.500

***

The following is a PBE calculation of an optimized crystal structure of Cs8Au4Br3F, from the Alexandria database.

Output
Its formation energy from raw total energies is -1131 meV per atom.

Unit cell a=17.833 b=10.237 c=10.312 alpha=90.00 beta=124.86 gamma=90.00
Space group C2/m (No. 12)
One atom of each set of equivalent atoms:
1 Cs 0.001 0.227 0.275
2 Cs 0.247 0.000 0.746
3 Cs 0.249 0.500 0.748
4 Au 0.000 0.000 0.000
5 Au 0.000 0.500 0.000
6 Au 0.250 0.250 0.000
7 Br 0.000 0.500 0.500
8 Br 0.250 0.250 0.500
9 F 0.000 0.000 0.500

***

The following is a PBE calculation of an optimized crystal structure of KCuHIr2, from the Alexandria database.

Output
The uncorrected energy is -10.154 eV for the cell shown.

Unit cell a=4.936 b=4.936 c=5.063 alpha=90.00 beta=90.00 gamma=90.00
Space group P4/mmm (No. 123)
One atom of each set of equivalent atoms:
1 K 0.000 0.000 0.000
2 Cu 0.000 0.000 0.500
3 H 0.500 0.500 0.500
4 Ir 0.000 0.500 0.000

***

The following is a PBE calculation of an optimized crystal structure of Ca2YCr, from the Alexandria database.

Output
The value obtained for the distance to the lowest polymorph of the same formula is 0.44 eV per formula unit. The calculation puts the energy relative to the elements at 0.3911 eV/atom.

Unit cell a=3.829 b=5.521 c=11.501 alpha=90.00 beta=90.00 gamma=90.00
Space group Immm (No. 71)
One atom of each set of equivalent atoms:
1 Ca 0.000 0.000 0.215
2 Y 0.000 0.500 0.000
3 Cr 0.000 0.500 0.500

***

The following is a PBE calculation of an optimized crystal structure of Zn3MoBr, from the Alexandria database.

Output
Its formation energy from raw total energies is 1441 meV per atom. The value obtained for the distance to the lowest polymorph of the same formula is 3.05 eV per formula unit.

Unit cell a=5.091 b=5.091 c=5.091 alpha=90.00 beta=90.00 gamma=90.00
Space group Pm-3m (No. 221)
One atom of each set of equivalent atoms:
1 Zn 0.000 0.000 0.500
2 Mo 0.500 0.500 0.500
3 Br 0.000 0.000 0.000